1) Entry from Alexandria via LeMat-Bulk: a relaxed AcTi4Se8 crystal (PBE).

Summary:
Magnetization in μB/cell: 0.8

a b c (Å): 7.2475 7.2475 8.4921
angles (deg): 64.74 64.74 60.00
Each line ends with the local moment (μB).
Sites, in units of the cell vectors:
Se: 0.7679 0.2551 0.2091  -0.01
Se: 0.7348 0.7348 0.7957  -0.01
Se: 0.7679 0.7679 0.2091  -0.01
Se: 0.2551 0.7679 0.2091  -0.01
Se: 0.2652 0.2652 0.2043  -0.01
Se: 0.2321 0.7449 0.7909  -0.01
Se: 0.2321 0.2321 0.7909  -0.01
Se: 0.7449 0.2321 0.7909  -0.01
Ti: 0.5000 0.5000 0.0000  0.20
Ti: 0.0000 0.5000 0.0000  0.20
Ti: 0.0000 0.0000 0.0000  0.16
Ti: 0.5000 0.0000 0.0000  0.20
Ac: 0.5000 0.5000 0.5000  0.00



2) Entry from Alexandria via LeMat-Bulk: a relaxed AcTi4Se8 crystal (PBE).

Summary:
Magnetization in μB/cell: 3.0

a b c (Å): 7.8448 7.8448 7.8448
angles (deg): 60.00 60.00 60.00
Each line ends with the local moment (μB).
Sites, in units of the cell vectors:
Ti: 0.3602 0.3602 0.3602  0.69
Ti: 0.9194 0.3602 0.3602  0.69
Ti: 0.3602 0.3602 0.9194  0.69
Ti: 0.3602 0.9194 0.3602  0.69
Se: 0.1293 0.1293 0.1293  -0.03
Se: 0.6015 0.6015 0.6015  -0.03
Se: 0.6121 0.1293 0.1293  -0.03
Se: 0.6015 0.1954 0.6015  -0.03
Se: 0.1293 0.6121 0.1293  -0.03
Se: 0.1293 0.1293 0.6121  -0.03
Se: 0.1954 0.6015 0.6015  -0.03
Se: 0.6015 0.6015 0.1954  -0.03
Ac: 0.7500 0.7500 0.7500  -0.01



Most favorable structure: 1). The second most favorable one is 15.6 kJ/mol of atoms above it.



1) Entry from Alexandria via LeMat-Bulk: a relaxed Ac2TlSe3 crystal (PBE).

Summary:
Magnetization in μB/cell: 0.0

a b c (Å): 4.4920 4.4920 23.1496
angles (deg): 90.00 90.00 120.00
Sites, in units of the cell vectors:
Ac: 0.3333 0.6667 0.9198
Ac: 0.3333 0.6667 0.5802
Ac: 0.6667 0.3333 0.0802
Ac: 0.6667 0.3333 0.4198
Se: 0.6667 0.3333 0.8455
Se: 0.0000 0.0000 0.0000
Se: 0.3333 0.6667 0.1545
Se: 0.6667 0.3333 0.6545
Se: 0.3333 0.6667 0.3455
Se: 0.0000 0.0000 0.5000
Tl: 0.0000 0.0000 0.7500
Tl: 0.0000 0.0000 0.2500



2) Entry from Alexandria via LeMat-Bulk: a relaxed Ac2TlSe3 crystal (PBE).

Summary:
Magnetization in μB/cell: 0.0

a b c (Å): 4.0094 5.4083 9.3390
angles (deg): 106.83 102.40 90.00
Sites, in units of the cell vectors:
Ac: 0.3544 0.3544 0.7089
Ac: 0.6456 0.6456 0.2911
Se: 0.8214 0.8214 0.6429
Se: 0.1786 0.1786 0.3571
Se: 0.0000 0.5000 0.0000
Tl: 0.0000 0.0000 0.0000



Most favorable structure: 1). The second most favorable one is 20.5 kJ/mol of atoms above it.



1) Entry from Alexandria via LeMat-Bulk: a relaxed Ac2USe5 crystal (PBE).

Summary:
Magnetization in μB/cell: 1.7

a b c (Å): 7.4245 7.4246 6.7896
angles (deg): 123.16 123.16 89.98
Each line ends with the local moment (μB).
Sites, in units of the cell vectors:
Se: 0.2608 0.2608 0.0031  -0.04
Se: 0.7424 0.2608 0.0031  -0.04
Se: 0.2608 0.7424 0.0032  -0.04
Se: 0.7249 0.7249 0.4498  -0.08
Se: 0.7424 0.7424 0.0032  -0.04
U: 0.0208 0.0208 0.0416  1.70
Ac: 0.2625 0.7625 0.5250  0.03
Ac: 0.7625 0.2625 0.5250  0.03



2) Entry from Alexandria via LeMat-Bulk: a relaxed Ac2USe5 crystal (PBE).

Summary:
Magnetization in μB/cell: 8.0

a b c (Å): 8.0807 8.8058 12.7630
angles (deg): 90.00 90.00 90.00
Each line ends with the local moment (μB).
Sites, in units of the cell vectors:
Se: 0.3320 0.5371 0.5861  -0.05
Se: 0.0531 0.2500 0.5023  -0.02
Se: 0.6680 0.0371 0.4139  -0.05
Se: 0.3320 0.9629 0.5861  -0.05
Se: 0.8320 0.0371 0.9139  -0.05
Se: 0.8212 0.7500 0.2110  -0.02
Se: 0.8438 0.2500 0.1889  -0.02
Se: 0.8320 0.4629 0.9139  -0.05
Se: 0.9469 0.7500 0.4977  -0.02
Se: 0.1680 0.5371 0.0861  -0.05
Se: 0.1680 0.9629 0.0861  -0.05
Se: 0.3212 0.2500 0.2890  -0.02
Se: 0.6562 0.2500 0.6889  -0.02
Se: 0.1788 0.2500 0.7890  -0.02
Se: 0.5531 0.7500 0.9977  -0.02
Se: 0.3438 0.7500 0.3111  -0.02
Se: 0.6788 0.7500 0.7110  -0.02
Se: 0.4469 0.2500 0.0023  -0.02
Se: 0.1562 0.7500 0.8111  -0.02
Se: 0.6680 0.4629 0.4139  -0.05
U: 0.0618 0.2500 0.0061  2.11
U: 0.9382 0.7500 0.9939  2.11
U: 0.4382 0.2500 0.5061  2.11
U: 0.5618 0.7500 0.4939  2.11
Ac: 0.4604 0.5017 0.8257  0.00
Ac: 0.5396 0.0017 0.1743  0.00
Ac: 0.9604 0.4983 0.6743  0.00
Ac: 0.0396 0.9983 0.3257  0.00
Ac: 0.0396 0.5017 0.3257  0.00
Ac: 0.9604 0.0017 0.6743  0.00
Ac: 0.4604 0.9983 0.8257  0.00
Ac: 0.5396 0.4983 0.1743  0.00



Most favorable structure: 2). The second most favorable one is 38.1 kJ/mol of atoms above it.



1) Entry from Alexandria via LeMat-Bulk: a relaxed Ac3YSe6 crystal (PBE).

Summary:
Magnetization in μB/cell: 0.0

a b c (Å): 8.9255 8.9255 8.9255
angles (deg): 91.89 91.89 91.89
Sites, in units of the cell vectors:
Se: 0.4163 0.1937 0.5433
Se: 0.8063 0.4567 0.5837
Se: 0.9245 0.6956 0.0806
Se: 0.0806 0.9245 0.6956
Se: 0.5433 0.4163 0.1937
Se: 0.1937 0.5433 0.4163
Se: 0.6956 0.0806 0.9245
Se: 0.0755 0.3044 0.9194
Se: 0.4567 0.5837 0.8063
Se: 0.9194 0.0755 0.3044
Se: 0.5837 0.8063 0.4567
Se: 0.3044 0.9194 0.0755
Ac: 0.0788 0.2514 0.5708
Ac: 0.7486 0.4292 0.9212
Ac: 0.4292 0.9212 0.7486
Ac: 0.5708 0.0788 0.2514
Ac: 0.2514 0.5708 0.0788
Ac: 0.9212 0.7486 0.4292
Y: 0.0000 0.0000 0.0000
Y: 0.5000 0.5000 0.5000



2) Entry from Alexandria via LeMat-Bulk: a relaxed Ac3YSe6 crystal (PBE).

Summary:
Magnetization in μB/cell: 0.0

a b c (Å): 7.3780 8.0479 10.9422
angles (deg): 90.00 91.76 90.00
Sites, in units of the cell vectors:
Se: 0.6902 0.1810 0.9234
Se: 0.3098 0.8190 0.0766
Se: 0.6683 0.1940 0.5751
Se: 0.8317 0.6940 0.9249
Se: 0.3317 0.8060 0.4249
Se: 0.6498 0.4414 0.2622
Se: 0.1683 0.3060 0.0751
Se: 0.8502 0.9414 0.2378
Se: 0.3502 0.5586 0.7378
Se: 0.1498 0.0586 0.7622
Se: 0.1902 0.3190 0.4234
Se: 0.8098 0.6810 0.5766
Y: 0.0000 0.0000 0.0000
Y: 0.5000 0.5000 0.5000
Ac: 0.4622 0.0928 0.2541
Ac: 0.5000 0.5000 0.0000
Ac: 0.5378 0.9072 0.7459
Ac: 0.0378 0.5928 0.2459
Ac: 0.0000 0.0000 0.5000
Ac: 0.9622 0.4072 0.7541



Most favorable structure: 1). The second most favorable one is 2.3 kJ/mol of atoms above it.



1) Entry from Alexandria via LeMat-Bulk: a relaxed Ac2ZnSe crystal (PBE).

Summary:
Magnetization in μB/cell: 0.0

a b c (Å): 3.7505 5.5916 5.5916
angles (deg): 90.00 90.00 90.00
Sites, in units of the cell vectors:
Ac: 0.0000 0.5000 0.0000
Ac: 0.0000 0.0000 0.5000
Zn: 0.5000 0.5000 0.5000
Se: 0.5000 0.0000 0.0000



2) Entry from Alexandria via LeMat-Bulk: a relaxed Ac2ZnSe crystal (PBE).

Summary:
Magnetization in μB/cell: 0.0

a b c (Å): 4.5531 4.3947 12.9477
angles (deg): 99.77 90.00 90.00
Sites, in units of the cell vectors:
Ac: 0.7500 0.6833 0.3665
Ac: 0.2500 0.3167 0.6335
Ac: 0.7500 0.9312 0.8624
Ac: 0.2500 0.0688 0.1376
Zn: 0.7500 0.5354 0.0709
Zn: 0.2500 0.4646 0.9291
Se: 0.2500 0.1937 0.3873
Se: 0.7500 0.8063 0.6127



Most favorable structure: 2). The second most favorable one is 16.9 kJ/mol of atoms above it.



1) Entry from Alexandria via LeMat-Bulk: a relaxed Ac2ZnSe crystal (PBE).

Summary:
Magnetization in μB/cell: 0.0

a b c (Å): 4.3336 4.3336 8.6337
angles (deg): 75.47 75.47 60.00
Sites, in units of the cell vectors:
Ac: 0.2512 0.2512 0.2464
Ac: 0.0824 0.0824 0.7527
Se: 0.4993 0.4993 0.5021
Zn: 0.6670 0.6670 0.9989



2) Entry from Alexandria via LeMat-Bulk: a relaxed Ac2ZnSe crystal (PBE).

Summary:
Magnetization in μB/cell: 0.0

a b c (Å): 4.1874 4.1874 10.7409
angles (deg): 78.76 78.76 60.00
Sites, in units of the cell vectors:
Se: 0.5000 0.5000 0.5000
Zn: 0.0000 0.0000 0.0000
Ac: 0.1046 0.1046 0.6862
Ac: 0.8954 0.8954 0.3138



Most favorable structure: 1). The second most favorable one is 37.7 kJ/mol of atoms above it.



1) Entry from Alexandria via LeMat-Bulk: a relaxed Ac3ZrSe6 crystal (PBE).

Summary:
Magnetization in μB/cell: 1.6

a b c (Å): 8.6978 8.6978 8.6978
angles (deg): 98.17 98.17 98.17
Each line ends with the local moment (μB).
Sites, in units of the cell vectors:
Se: 0.9368 0.0277 0.6903  0.00
Se: 0.3097 0.0632 0.9723  0.00
Se: 0.4338 0.5690 0.1949  0.00
Se: 0.1949 0.4338 0.5690  0.00
Se: 0.0277 0.6903 0.9368  0.00
Se: 0.4310 0.8051 0.5662  0.00
Se: 0.5662 0.4310 0.8051  0.00
Se: 0.8051 0.5662 0.4310  0.00
Se: 0.6903 0.9368 0.0277  0.00
Se: 0.9723 0.3097 0.0632  0.00
Se: 0.0632 0.9723 0.3097  0.00
Se: 0.5690 0.1949 0.4338  0.00
Ac: 0.2933 0.1181 0.6258  0.02
Ac: 0.7067 0.8819 0.3742  0.02
Ac: 0.8819 0.3742 0.7067  0.02
Ac: 0.3742 0.7067 0.8819  0.02
Ac: 0.1181 0.6258 0.2933  0.02
Ac: 0.6258 0.2933 0.1181  0.02
Zr: 0.5000 0.5000 0.5000  0.68
Zr: 0.0000 0.0000 0.0000  0.01



2) Entry from Alexandria via LeMat-Bulk: a relaxed Ac3ZrSe6 crystal (PBE).

Summary:
Magnetization in μB/cell: 2.1

a b c (Å): 7.2789 7.9795 10.7258
angles (deg): 90.00 93.73 90.00
Each line ends with the local moment (μB).
Sites, in units of the cell vectors:
Se: 0.1899 0.3247 0.4258  0.00
Se: 0.3388 0.8039 0.4337  0.00
Se: 0.1612 0.3039 0.0663  0.00
Se: 0.6612 0.1961 0.5663  0.00
Se: 0.8555 0.9563 0.2290  0.00
Se: 0.8388 0.6961 0.9337  0.00
Se: 0.1445 0.0437 0.7710  0.00
Se: 0.8101 0.6753 0.5742  0.00
Se: 0.6899 0.1753 0.9258  0.00
Se: 0.3555 0.5437 0.7290  0.00
Se: 0.3101 0.8247 0.0742  0.00
Se: 0.6445 0.4563 0.2710  0.00
Ac: 0.4568 0.1042 0.2621  0.03
Ac: 0.5000 0.5000 0.0000  0.04
Ac: 0.9568 0.3958 0.7621  0.03
Ac: 0.0000 0.0000 0.5000  0.04
Ac: 0.0432 0.6042 0.2379  0.03
Ac: 0.5432 0.8958 0.7379  0.03
Zr: 0.0000 0.0000 0.0000  0.51
Zr: 0.5000 0.5000 0.5000  0.51



Most favorable structure: 1). The second most favorable one is 3.5 kJ/mol of atoms above it.



1) Entry from Alexandria via LeMat-Bulk: a relaxed AcSi3 crystal (PBE).

Summary:
Magnetization in μB/cell: 0.0

a b c (Å): 6.5226 6.5226 4.6332
angles (deg): 90.00 90.00 120.00
Sites, in units of the cell vectors:
Si: 0.8718 0.7437 0.7500
Si: 0.1282 0.2563 0.2500
Si: 0.8718 0.1282 0.7500
Si: 0.2563 0.1282 0.7500
Si: 0.1282 0.8718 0.2500
Si: 0.7437 0.8718 0.2500
Ac: 0.3333 0.6667 0.7500
Ac: 0.6667 0.3333 0.2500



2) Entry from Alexandria via LeMat-Bulk: a relaxed AcSi3 crystal (PBE).

Summary:
Magnetization in μB/cell: 0.0

a b c (Å): 4.4488 4.4488 4.4488
angles (deg): 90.00 90.00 90.00
Sites, in units of the cell vectors:
Si: 0.0000 0.5000 0.5000
Si: 0.5000 0.5000 0.0000
Si: 0.5000 0.0000 0.5000
Ac: 0.0000 0.0000 0.0000



Most favorable structure: 1). The second most favorable one is 37.0 kJ/mol of atoms above it.



1) Entry from Alexandria via LeMat-Bulk: a relaxed Ac3Si crystal (PBE).

Summary:
Magnetization in μB/cell: 0.0

a b c (Å): 5.1535 5.1535 5.1535
angles (deg): 90.00 90.00 90.00
Sites, in units of the cell vectors:
Ac: 0.5000 0.5000 0.0000
Ac: 0.5000 0.0000 0.5000
Ac: 0.0000 0.5000 0.5000
Si: 0.0000 0.0000 0.0000



2) Entry from Alexandria via LeMat-Bulk: a relaxed Ac3Si crystal (PBE).

Summary:
Magnetization in μB/cell: 0.2

a b c (Å): 4.2688 4.2153 9.2518
angles (deg): 90.00 90.00 90.00
Sites, in units of the cell vectors:
Ac: 0.5000 0.5000 0.1094
Ac: 0.0000 0.5000 0.4523
Ac: 0.5000 0.0000 0.7552
Si: 0.0000 0.0000 0.0165



3) Entry from Alexandria via LeMat-Bulk: a relaxed Ac3Si crystal (PBE).

Summary:
Magnetization in μB/cell: 0.0

a b c (Å): 5.0611 5.0611 6.4938
angles (deg): 112.94 112.94 90.00
Sites, in units of the cell vectors:
Ac: 0.5000 0.5000 0.0000
Ac: 0.2500 0.7500 0.5000
Ac: 0.7500 0.2500 0.5000
Si: 0.0000 0.0000 0.0000



Most favorable structure: 1). The second most favorable one is 4.2 kJ/mol of atoms above it.



1) Entry from Alexandria via LeMat-Bulk: a relaxed Ac3Si crystal (PBE).

Summary:
Magnetization in μB/cell: 0.0

a b c (Å): 5.8486 5.8486 5.8486
angles (deg): 60.00 60.00 60.00
Sites, in units of the cell vectors:
Ac: 0.0000 0.0000 0.0000
Ac: 0.7500 0.7500 0.7500
Ac: 0.2500 0.2500 0.2500
Si: 0.5000 0.5000 0.5000



2) Entry from Alexandria via LeMat-Bulk: a relaxed Ac3Si crystal (PBE).

Summary:
Magnetization in μB/cell: 0.0

a b c (Å): 7.5341 7.5341 5.5904
angles (deg): 90.00 90.00 120.00
Sites, in units of the cell vectors:
Si: 0.3333 0.6667 0.7500
Si: 0.6667 0.3333 0.2500
Ac: 0.1801 0.3601 0.2500
Ac: 0.8199 0.6399 0.7500
Ac: 0.8199 0.1801 0.7500
Ac: 0.6399 0.8199 0.2500
Ac: 0.3601 0.1801 0.7500
Ac: 0.1801 0.8199 0.2500



Most favorable structure: 2). The second most favorable one is 21.4 kJ/mol of atoms above it.